Entry 1:
CeNd2SmEr | PBE | optimized geometry

Lattice parameters (Å, degrees): 6.138 6.757 8.154 90.00 90.00 90.00
Sites, in units of the cell vectors:
Ce 0.000 0.000 0.000
Ce 0.500 0.000 0.000
Nd 0.250 0.266 0.310
Nd 0.250 0.734 0.310
Nd 0.750 0.266 0.690
Nd 0.750 0.734 0.690
Sm 0.250 0.000 0.644
Sm 0.750 0.000 0.356
Er 0.250 0.500 0.877
Er 0.750 0.500 0.123

Summary:
VASP energy ... -4.67 eV per atom
Space group ... Pmma, No. 51
Formation enthalpy at 0 K ... 27 kJ per mole of atoms
Magnetic moment ... 1.2 μB per cell

***

Entry 2:
Sc3MnH | PBE | optimized geometry

Lattice parameters (Å, degrees): 4.821 4.821 4.821 90.00 90.00 90.00
Sites, in units of the cell vectors:
Sc 0.000 0.000 0.500
Sc 0.000 0.500 0.000
Sc 0.500 0.000 0.000
Mn 0.000 0.000 0.000
H 0.500 0.500 0.500

Summary:
VASP energy ... -5.62 eV per atom
ΔE to the lowest computed polymorph ... 359 kJ/mol of formula units
Space group ... Pm-3m, No. 221
Magnetic moment ... 0.6 μB per cell

***

Entry 3:
Ac7La3Nd | PBE | optimized geometry

Lattice parameters (Å, degrees): 7.051 7.320 9.416 100.46 97.22 97.34
Sites, in units of the cell vectors:
Ac 0.000 0.000 0.000
Ac 0.064 0.221 0.646
Ac 0.317 0.429 0.328
Ac 0.499 0.233 0.921
Ac 0.501 0.767 0.079
Ac 0.683 0.571 0.672
Ac 0.936 0.779 0.354
La 0.212 0.738 0.707
La 0.500 0.000 0.500
La 0.788 0.262 0.293
Nd 0.000 0.500 0.000

Summary:
VASP energy ... -4.29 eV per atom
ΔE to the lowest computed polymorph ... 0 kJ/mol of formula units
Space group ... P-1, No. 2
Formation enthalpy at 0 K ... 10 kJ per mole of atoms
Magnetic moment ... 0.0 μB per cell